TbLuInRu after structural relaxation, computed with PBE.

For the total energy, the calculation gives -0.2073 Ha/atom. Its formation energy from the elements is -0.3491 eV per atom.

It has space group F-43m (No. 216), with a = 7.101 Å, b = 7.101 Å, c = 7.101 Å, α = 90.00°, β = 90.00° and γ = 90.00°. The inequivalent atoms are Tb at (0.000, 0.000, 0.000), Lu at (0.000, 0.000, 0.500), In at (0.250, 0.250, 0.750) and Ru at (0.250, 0.250, 0.250).